No. 1
Below is a relaxed KCaZr2 crystal, with properties calculated at the GGA-PBE level.

* excess energy over the best structure of this formula in the dataset: 542 meV/atom
* space-group type: No. 216
* energy relative to the elements: 874.8 meV/atom

Structure (CIF):
```
data_KCaZr2
_cell_length_a 5.5697
_cell_length_b 5.5697
_cell_length_c 5.5697
_cell_angle_alpha 60.00
_cell_angle_beta 60.00
_cell_angle_gamma 60.00
_symmetry_space_group_name_H-M 'P 1'
_symmetry_Int_Tables_number 1
_symmetry_space_group_name_Hall 'P 1'
loop_
_atom_site_label
_atom_site_type_symbol
_atom_site_fract_x
_atom_site_fract_y
_atom_site_fract_z
Zr1 Zr 0.0000 0.0000 0.0000
Zr2 Zr 0.2500 0.2500 0.2500
Ca1 Ca 0.5000 0.5000 0.5000
K1 K 0.7500 0.7500 0.7500
```



No. 2
Below is a relaxed KCaZr2 crystal, with properties calculated at the GGA-PBE level.

* excess energy over the best structure of this formula in the dataset: 543 meV/atom
* space-group type: No. 139
* energy relative to the elements: 876.2 meV/atom

Structure (CIF):
```
data_KCaZr2
_cell_length_a 6.8219
_cell_length_b 6.8219
_cell_length_c 6.8219
_cell_angle_alpha 141.83
_cell_angle_beta 141.83
_cell_angle_gamma 55.08
_symmetry_space_group_name_H-M 'P 1'
_symmetry_Int_Tables_number 1
_symmetry_space_group_name_Hall 'P 1'
loop_
_atom_site_label
_atom_site_type_symbol
_atom_site_fract_x
_atom_site_fract_y
_atom_site_fract_z
Zr1 Zr 0.5000 0.5000 0.0000
Zr2 Zr 0.0000 0.0000 0.0000
K1 K 0.7500 0.2500 0.5000
Ca1 Ca 0.2500 0.7500 0.5000
```



No. 3
Below is a relaxed K2CaZr crystal, with properties calculated at the GGA-PBE level.

* excess energy over the best structure of this formula in the dataset: 222 meV/atom
* space-group type: No. 123
* energy relative to the elements: 739.1 meV/atom

Structure (CIF):
```
data_K2CaZr
_cell_length_a 3.5016
_cell_length_b 3.5016
_cell_length_c 13.5894
_cell_angle_alpha 90.00
_cell_angle_beta 90.00
_cell_angle_gamma 90.00
_symmetry_space_group_name_H-M 'P 1'
_symmetry_Int_Tables_number 1
_symmetry_space_group_name_Hall 'P 1'
loop_
_atom_site_label
_atom_site_type_symbol
_atom_site_fract_x
_atom_site_fract_y
_atom_site_fract_z
K1 K 0.0000 0.0000 0.4781
K2 K 0.0000 0.0000 0.0219
Zr1 Zr 0.5000 0.5000 0.2500
Ca1 Ca 0.5000 0.5000 0.7500
```



No. 4
Below is a relaxed KCa2Zr crystal, with properties calculated at the GGA-PBE level.

* excess energy over the best structure of this formula in the dataset: 344 meV/atom
* space-group type: No. 225
* energy relative to the elements: 670.1 meV/atom

Structure (CIF):
```
data_KCa2Zr
_cell_length_a 5.9980
_cell_length_b 5.9980
_cell_length_c 5.9980
_cell_angle_alpha 60.00
_cell_angle_beta 60.00
_cell_angle_gamma 60.00
_symmetry_space_group_name_H-M 'P 1'
_symmetry_Int_Tables_number 1
_symmetry_space_group_name_Hall 'P 1'
loop_
_atom_site_label
_atom_site_type_symbol
_atom_site_fract_x
_atom_site_fract_y
_atom_site_fract_z
Zr1 Zr 0.5000 0.5000 0.5000
Ca1 Ca 0.2500 0.2500 0.2500
Ca2 Ca 0.7500 0.7500 0.7500
K1 K 0.0000 0.0000 0.0000
```



No. 5
Below is a relaxed KCa2Zr crystal, with properties calculated at the GGA-PBE level.

* excess energy over the best structure of this formula in the dataset: 310 meV/atom
* space-group type: No. 71
* energy relative to the elements: 636.8 meV/atom

Structure (CIF):
```
data_KCa2Zr
_cell_length_a 7.4036
_cell_length_b 7.4036
_cell_length_c 7.4036
_cell_angle_alpha 152.09
_cell_angle_beta 126.76
_cell_angle_gamma 61.17
_symmetry_space_group_name_H-M 'P 1'
_symmetry_Int_Tables_number 1
_symmetry_space_group_name_Hall 'P 1'
loop_
_atom_site_label
_atom_site_type_symbol
_atom_site_fract_x
_atom_site_fract_y
_atom_site_fract_z
Ca1 Ca 0.0247 0.0247 0.0000
Ca2 Ca 0.4753 0.4753 0.0000
K1 K 0.7500 0.2500 0.5000
Zr1 Zr 0.2500 0.7500 0.5000
```



No. 6
Below is a relaxed KCa2Zr crystal, with properties calculated at the GGA-PBE level.

* excess energy over the best structure of this formula in the dataset: 268 meV/atom
* space-group type: No. 44
* energy relative to the elements: 594.5 meV/atom

Structure (CIF):
```
data_KCa2Zr
_cell_length_a 7.4858
_cell_length_b 7.4858
_cell_length_c 7.4858
_cell_angle_alpha 151.56
_cell_angle_beta 129.69
_cell_angle_gamma 58.81
_symmetry_space_group_name_H-M 'P 1'
_symmetry_Int_Tables_number 1
_symmetry_space_group_name_Hall 'P 1'
loop_
_atom_site_label
_atom_site_type_symbol
_atom_site_fract_x
_atom_site_fract_y
_atom_site_fract_z
K1 K 0.4886 0.4886 0.0000
Ca1 Ca 0.7538 0.2538 0.5000
Ca2 Ca 0.0200 0.0200 0.0000
Zr1 Zr 0.2375 0.7375 0.5000
```



No. 7
Below is a relaxed KCaZr2 crystal, with properties calculated at the GGA-PBE level.

* excess energy over the best structure of this formula in the dataset: 316 meV/atom
* space-group type: No. 65
* energy relative to the elements: 649.4 meV/atom

Structure (CIF):
```
data_KCaZr2
_cell_length_a 3.2114
_cell_length_b 3.2114
_cell_length_c 12.9799
_cell_angle_alpha 90.00
_cell_angle_beta 90.00
_cell_angle_gamma 116.35
_symmetry_space_group_name_H-M 'P 1'
_symmetry_Int_Tables_number 1
_symmetry_space_group_name_Hall 'P 1'
loop_
_atom_site_label
_atom_site_type_symbol
_atom_site_fract_x
_atom_site_fract_y
_atom_site_fract_z
Ca1 Ca 0.5000 0.5000 0.2500
Zr1 Zr 0.0000 0.0000 0.4805
Zr2 Zr 0.0000 0.0000 0.0195
K1 K 0.5000 0.5000 0.7500
```



No. 8
Below is a relaxed K2CaZr crystal, with properties calculated at the GGA-PBE level.

* excess energy over the best structure of this formula in the dataset: 318 meV/atom
* space-group type: No. 139
* energy relative to the elements: 834.9 meV/atom

Structure (CIF):
```
data_K2CaZr
_cell_length_a 7.5823
_cell_length_b 7.5823
_cell_length_c 7.5823
_cell_angle_alpha 140.84
_cell_angle_beta 140.84
_cell_angle_gamma 56.58
_symmetry_space_group_name_H-M 'P 1'
_symmetry_Int_Tables_number 1
_symmetry_space_group_name_Hall 'P 1'
loop_
_atom_site_label
_atom_site_type_symbol
_atom_site_fract_x
_atom_site_fract_y
_atom_site_fract_z
K1 K 0.5000 0.5000 0.0000
K2 K 0.0000 0.0000 0.0000
Ca1 Ca 0.7500 0.2500 0.5000
Zr1 Zr 0.2500 0.7500 0.5000
```



No. 9
Below is a relaxed K2CaZr crystal, with properties calculated at the GGA-PBE level.

* excess energy over the best structure of this formula in the dataset: 197 meV/atom
* space-group type: No. 12
* energy relative to the elements: 714.8 meV/atom

Structure (CIF):
```
data_K2CaZr
_cell_length_a 7.3044
_cell_length_b 7.3044
_cell_length_c 6.5640
_cell_angle_alpha 82.07
_cell_angle_beta 82.07
_cell_angle_gamma 28.34
_symmetry_space_group_name_H-M 'P 1'
_symmetry_Int_Tables_number 1
_symmetry_space_group_name_Hall 'P 1'
loop_
_atom_site_label
_atom_site_type_symbol
_atom_site_fract_x
_atom_site_fract_y
_atom_site_fract_z
Ca1 Ca 0.2500 0.2500 0.2500
K1 K 0.4924 0.4924 0.5119
K2 K 0.0076 0.0076 0.9881
Zr1 Zr 0.7500 0.7500 0.7500
```



No. 10
Below is a relaxed KCa2Zr crystal, with properties calculated at the GGA-PBE level.

* excess energy over the best structure of this formula in the dataset: 162 meV/atom
* space-group type: No. 99
* energy relative to the elements: 488.3 meV/atom

Structure (CIF):
```
data_KCa2Zr
_cell_length_a 3.5339
_cell_length_b 3.5339
_cell_length_c 12.0737
_cell_angle_alpha 90.00
_cell_angle_beta 90.00
_cell_angle_gamma 90.00
_symmetry_space_group_name_H-M 'P 1'
_symmetry_Int_Tables_number 1
_symmetry_space_group_name_Hall 'P 1'
loop_
_atom_site_label
_atom_site_type_symbol
_atom_site_fract_x
_atom_site_fract_y
_atom_site_fract_z
K1 K 0.0000 0.0000 0.5239
Ca1 Ca 0.0000 0.0000 0.9740
Ca2 Ca 0.5000 0.5000 0.2227
Zr1 Zr 0.5000 0.5000 0.7794
```



No. 11
Below is a relaxed KCaZr crystal, with properties calculated at the GGA-PBE level.

* excess energy over the best structure of this formula in the dataset: 19 meV/atom
* space-group type: No. 42
* energy relative to the elements: 586.9 meV/atom

Structure (CIF):
```
data_KCaZr
_cell_length_a 10.2717
_cell_length_b 10.0758
_cell_length_c 3.4055
_cell_angle_alpha 83.63
_cell_angle_beta 77.13
_cell_angle_gamma 19.24
_symmetry_space_group_name_H-M 'P 1'
_symmetry_Int_Tables_number 1
_symmetry_space_group_name_Hall 'P 1'
loop_
_atom_site_label
_atom_site_type_symbol
_atom_site_fract_x
_atom_site_fract_y
_atom_site_fract_z
Zr1 Zr 0.3444 0.3444 0.6556
K1 K 0.6753 0.6753 0.3247
Ca1 Ca 0.9803 0.9803 0.0197
```



No. 12
Below is a relaxed KCaZr2 crystal, with properties calculated at the GGA-PBE level.

* excess energy over the best structure of this formula in the dataset: 331 meV/atom
* space-group type: No. 12
* energy relative to the elements: 664.1 meV/atom

Structure (CIF):
```
data_KCaZr2
_cell_length_a 6.1771
_cell_length_b 6.1771
_cell_length_c 7.6452
_cell_angle_alpha 87.88
_cell_angle_beta 87.88
_cell_angle_gamma 29.67
_symmetry_space_group_name_H-M 'P 1'
_symmetry_Int_Tables_number 1
_symmetry_space_group_name_Hall 'P 1'
loop_
_atom_site_label
_atom_site_type_symbol
_atom_site_fract_x
_atom_site_fract_y
_atom_site_fract_z
Zr1 Zr 0.0035 0.0035 0.9089
Zr2 Zr 0.4965 0.4965 0.5911
Ca1 Ca 0.7500 0.7500 0.7500
K1 K 0.2500 0.2500 0.2500
```



No. 13
Below is a relaxed KCaZr2 crystal, with properties calculated at the GGA-PBE level.

* excess energy over the best structure of this formula in the dataset: 310 meV/atom
* space-group type: No. 166
* energy relative to the elements: 643.4 meV/atom

Structure (CIF):
```
data_KCaZr2
_cell_length_a 12.9168
_cell_length_b 12.9168
_cell_length_c 12.9168
_cell_angle_alpha 14.66
_cell_angle_beta 14.66
_cell_angle_gamma 14.66
_symmetry_space_group_name_H-M 'P 1'
_symmetry_Int_Tables_number 1
_symmetry_space_group_name_Hall 'P 1'
loop_
_atom_site_label
_atom_site_type_symbol
_atom_site_fract_x
_atom_site_fract_y
_atom_site_fract_z
Zr1 Zr 0.5069 0.5069 0.5069
Zr2 Zr 0.9931 0.9931 0.9931
K1 K 0.7500 0.7500 0.7500
Ca1 Ca 0.2500 0.2500 0.2500
```



No. 14
Below is a relaxed KCaZr4 crystal, with properties calculated at the GGA-PBE level.

* space-group type: No. 216
* energy relative to the elements: 653.4 meV/atom

Structure (CIF):
```
data_KCaZr4
_cell_length_a 6.2781
_cell_length_b 6.2781
_cell_length_c 6.2781
_cell_angle_alpha 60.00
_cell_angle_beta 60.00
_cell_angle_gamma 60.00
_symmetry_space_group_name_H-M 'P 1'
_symmetry_Int_Tables_number 1
_symmetry_space_group_name_Hall 'P 1'
loop_
_atom_site_label
_atom_site_type_symbol
_atom_site_fract_x
_atom_site_fract_y
_atom_site_fract_z
Zr1 Zr 0.3800 0.8599 0.3800
Zr2 Zr 0.3800 0.3800 0.3800
Zr3 Zr 0.8599 0.3800 0.3800
Zr4 Zr 0.3800 0.3800 0.8599
K1 K 0.0000 0.0000 0.0000
Ca1 Ca 0.7500 0.7500 0.7500
```



No. 15
Below is a relaxed K2CaZr crystal, with properties calculated at the GGA-PBE level.

* excess energy over the best structure of this formula in the dataset: 250 meV/atom
* space-group type: No. 65
* energy relative to the elements: 767.7 meV/atom

Structure (CIF):
```
data_K2CaZr
_cell_length_a 7.6878
_cell_length_b 7.6878
_cell_length_c 3.4113
_cell_angle_alpha 90.00
_cell_angle_beta 90.00
_cell_angle_gamma 125.04
_symmetry_space_group_name_H-M 'P 1'
_symmetry_Int_Tables_number 1
_symmetry_space_group_name_Hall 'P 1'
loop_
_atom_site_label
_atom_site_type_symbol
_atom_site_fract_x
_atom_site_fract_y
_atom_site_fract_z
K1 K 0.0000 0.0000 0.0000
K2 K 0.5000 0.5000 0.0000
Zr1 Zr 0.5000 0.0000 0.5000
Ca1 Ca 0.0000 0.5000 0.5000
```



No. 16
Below is a relaxed KCa2Zr crystal, with properties calculated at the GGA-PBE level.

* excess energy over the best structure of this formula in the dataset: 380 meV/atom
* space-group type: No. 47
* energy relative to the elements: 706.0 meV/atom

Structure (CIF):
```
data_KCa2Zr
_cell_length_a 3.7589
_cell_length_b 6.4849
_cell_length_c 6.1800
_cell_angle_alpha 90.00
_cell_angle_beta 90.00
_cell_angle_gamma 90.00
_symmetry_space_group_name_H-M 'P 1'
_symmetry_Int_Tables_number 1
_symmetry_space_group_name_Hall 'P 1'
loop_
_atom_site_label
_atom_site_type_symbol
_atom_site_fract_x
_atom_site_fract_y
_atom_site_fract_z
K1 K 0.5000 0.0000 0.5000
Zr1 Zr 0.0000 0.5000 0.5000
Ca1 Ca 0.0000 0.0000 0.0000
Ca2 Ca 0.5000 0.5000 0.0000
```



No. 17
Below is a relaxed KCa2Zr crystal, with properties calculated at the GGA-PBE level.

* excess energy over the best structure of this formula in the dataset: 422 meV/atom
* space-group type: No. 216
* energy relative to the elements: 748.4 meV/atom

Structure (CIF):
```
data_KCa2Zr
_cell_length_a 6.0184
_cell_length_b 6.0184
_cell_length_c 6.0184
_cell_angle_alpha 60.00
_cell_angle_beta 60.00
_cell_angle_gamma 60.00
_symmetry_space_group_name_H-M 'P 1'
_symmetry_Int_Tables_number 1
_symmetry_space_group_name_Hall 'P 1'
loop_
_atom_site_label
_atom_site_type_symbol
_atom_site_fract_x
_atom_site_fract_y
_atom_site_fract_z
Ca1 Ca 0.2500 0.2500 0.2500
Ca2 Ca 0.0000 0.0000 0.0000
K1 K 0.5000 0.5000 0.5000
Zr1 Zr 0.7500 0.7500 0.7500
```



No. 18
Below is a relaxed KCaZr2 crystal, with properties calculated at the GGA-PBE level.

* excess energy over the best structure of this formula in the dataset: 327 meV/atom
* space-group type: No. 10
* energy relative to the elements: 660.0 meV/atom

Structure (CIF):
```
data_KCaZr2
_cell_length_a 5.9219
_cell_length_b 3.1986
_cell_length_c 7.6904
_cell_angle_alpha 78.92
_cell_angle_beta 90.00
_cell_angle_gamma 90.00
_symmetry_space_group_name_H-M 'P 1'
_symmetry_Int_Tables_number 1
_symmetry_space_group_name_Hall 'P 1'
loop_
_atom_site_label
_atom_site_type_symbol
_atom_site_fract_x
_atom_site_fract_y
_atom_site_fract_z
Zr1 Zr 0.0000 0.4644 0.4100
Zr2 Zr 0.0000 0.0356 0.0900
K1 K 0.5000 0.7500 0.7500
Ca1 Ca 0.5000 0.2500 0.2500
```



No. 19
Below is a relaxed KCa2Zr crystal, with properties calculated at the GGA-PBE level.

* excess energy over the best structure of this formula in the dataset: 373 meV/atom
* space-group type: No. 119
* energy relative to the elements: 699.8 meV/atom

Structure (CIF):
```
data_KCa2Zr
_cell_length_a 6.7354
_cell_length_b 6.7354
_cell_length_c 6.7354
_cell_angle_alpha 134.60
_cell_angle_beta 134.60
_cell_angle_gamma 66.15
_symmetry_space_group_name_H-M 'P 1'
_symmetry_Int_Tables_number 1
_symmetry_space_group_name_Hall 'P 1'
loop_
_atom_site_label
_atom_site_type_symbol
_atom_site_fract_x
_atom_site_fract_y
_atom_site_fract_z
Ca1 Ca 0.0000 0.0000 0.0000
Ca2 Ca 0.2500 0.7500 0.5000
Zr1 Zr 0.7500 0.2500 0.5000
K1 K 0.5000 0.5000 0.0000
```



No. 20
Below is a relaxed KCaZr2 crystal, with properties calculated at the GGA-PBE level.

* excess energy over the best structure of this formula in the dataset: 254 meV/atom
* space-group type: No. 8
* energy relative to the elements: 587.4 meV/atom

Structure (CIF):
```
data_KCaZr2
_cell_length_a 5.3389
_cell_length_b 5.3389
_cell_length_c 8.6509
_cell_angle_alpha 86.82
_cell_angle_beta 86.82
_cell_angle_gamma 35.30
_symmetry_space_group_name_H-M 'P 1'
_symmetry_Int_Tables_number 1
_symmetry_space_group_name_Hall 'P 1'
loop_
_atom_site_label
_atom_site_type_symbol
_atom_site_fract_x
_atom_site_fract_y
_atom_site_fract_z
Zr1 Zr 0.7427 0.7427 0.8039
Zr2 Zr 0.0133 0.0133 0.9074
K1 K 0.2541 0.2541 0.2198
Ca1 Ca 0.4899 0.4899 0.5688
```